Below is a relaxed structure of ScPtPb2, with properties calculated at the PBE level. Values from VASP.

DOS(E_F) = 1.43 states/eV/cell
size of the total moment = 0.00 μB/atom
calculated formation energy = -0.497 eV per atom

```
&SYSTEM
  ibrav = 0, nat = 4, ntyp = 3
/
ATOMIC_SPECIES
Sc 44.96 Sc.upf
Pt 195.08 Pt.upf
Pb 207.20 Pb.upf
CELL_PARAMETERS angstrom
3.474 0.000 0.000
0.000 3.417 0.000
-0.149 0.000 8.197
ATOMIC_POSITIONS angstrom
Sc 0.000 0.000 0.000
Pt 1.588 1.709 6.947
Pb 1.724 1.709 2.211
Pb 3.342 0.000 4.922
```